Entry 1:
The following is a DFT calculation (PBE) of an optimized crystal structure of NdHoB.

The uncorrected energy is -62.3 eV for the cell shown.

The structure belongs to space group F-43m (No. 216); the cell edges are 6.498, 6.498 and 6.498 Å and the angles 90.00°, 90.00° and 90.00°. The asymmetric unit holds Nd at (0.000, 0.000, 0.000), Ho at (0.000, 0.000, 0.500) and B at (0.250, 0.250, 0.750).

Entry 2:
The following is a DFT calculation (PBE) of an optimized crystal structure of HoNiB.

The uncorrected energy is -57.1 eV for the cell shown.

The structure belongs to space group F-43m (No. 216); the cell edges are 5.988, 5.988 and 5.988 Å and the angles 90.00°, 90.00° and 90.00°. The asymmetric unit holds Ho at (0.000, 0.000, 0.000), Ni at (0.250, 0.250, 0.250) and B at (0.250, 0.250, 0.750).

- What is the uncorrected energy in the second record?
  -57.1 eV for the cell shown